Entry 1:
First-principles (PBE) data for crystalline Dy4TeAsS2 at its relaxed geometry, as listed in the Alexandria database.

a = 7.060 Å, b = 4.039 Å, c = 7.110 Å
α = 90.00°, β = 108.95°, γ = 90.00°
Fractional coordinates of all 8 atoms:
Dy: 0.219 0.000 0.220
Dy: 0.236 0.500 0.764
Dy: 0.764 0.500 0.236
Dy: 0.781 0.000 0.780
Te: 0.500 0.500 0.500
As: 0.500 0.000 0.000
S: 0.000 0.000 0.500
S: 0.000 0.500 0.000

Properties
Final energy, eV per formula unit: -48.1
Formation energy (no corrections), eV per atom: -1.71

=====

Entry 2:
First-principles (PBE) data for crystalline Li3Ho4Se8 at its relaxed geometry, as listed in the Alexandria database.

a = 8.027 Å, b = 8.027 Å, c = 7.982 Å
α = 119.29°, β = 119.29°, γ = 91.05°
Fractional coordinates of all 15 atoms:
Li: 0.000 0.000 0.000
Li: 0.000 0.500 0.000
Li: 0.500 0.000 0.000
Ho: 0.000 0.000 0.500
Ho: 0.000 0.500 0.500
Ho: 0.500 0.000 0.500
Ho: 0.500 0.500 0.000
Se: 0.245 0.245 0.992
Se: 0.248 0.752 0.500
Se: 0.250 0.750 0.000
Se: 0.254 0.254 0.498
Se: 0.746 0.746 0.502
Se: 0.750 0.250 0.000
Se: 0.752 0.248 0.500
Se: 0.755 0.755 0.008

Properties
Final energy, eV per formula unit: -75.6
Formation energy (no corrections), eV per atom: -1.58

=====

Entry 3:
First-principles (PBE) data for crystalline Cr2FeHPd at its relaxed geometry, as listed in the Alexandria database.

a = 3.715 Å, b = 3.715 Å, c = 3.779 Å
α = 90.00°, β = 90.00°, γ = 90.00°
Fractional coordinates of all 5 atoms:
Cr: 0.000 0.500 0.000
Cr: 0.500 0.000 0.000
Fe: 0.000 0.000 0.500
H: 0.000 0.000 0.000
Pd: 0.500 0.500 0.500

Properties
Final energy, eV per formula unit: -35.7

=====

Entry 4:
First-principles (PBE) data for crystalline La3PmY6Sc2 at its relaxed geometry, as listed in the Alexandria database.

a = 6.186 Å, b = 6.186 Å, c = 11.816 Å
α = 95.00°, β = 95.00°, γ = 120.02°
Fractional coordinates of all 12 atoms:
La: 0.000 0.000 0.000
La: 0.333 0.667 0.000
La: 0.667 0.333 0.000
Pm: 0.500 0.500 0.500
Y: 0.083 0.419 0.260
Y: 0.244 0.244 0.741
Y: 0.419 0.083 0.260
Y: 0.581 0.917 0.740
Y: 0.756 0.756 0.259
Y: 0.917 0.581 0.740
Sc: 0.167 0.833 0.500
Sc: 0.833 0.167 0.500

Properties
Final energy, eV per formula unit: -70.4
Energy of formation from the pure elements, kJ/mol of formula units: 52

=====

Entry 5:
First-principles (PBE) data for crystalline Au5Se3 at its relaxed geometry, as listed in the Alexandria database.

a = 6.223 Å, b = 6.223 Å, c = 4.028 Å
α = 90.00°, β = 90.00°, γ = 90.22°
Fractional coordinates of all 8 atoms:
Au: 0.000 0.000 0.000
Au: 0.000 0.500 0.000
Au: 0.268 0.732 0.500
Au: 0.500 0.000 0.000
Au: 0.732 0.268 0.500
Se: 0.204 0.204 0.500
Se: 0.500 0.500 0.000
Se: 0.796 0.796 0.500

Properties
Final energy, eV per formula unit: -24.6
Formation energy (no corrections), eV per atom: 0.28
Offset from the most stable computed form, meV per atom: 21.3

=====

Entry 6:
First-principles (PBE) data for crystalline Ac2Ge3Ir4 at its relaxed geometry, as listed in the Alexandria database.

a = 8.467 Å, b = 8.467 Å, c = 7.432 Å
α = 90.00°, β = 90.00°, γ = 138.98°
Fractional coordinates of all 18 atoms:
Ac: 0.106 0.894 0.908
Ac: 0.394 0.606 0.408
Ac: 0.606 0.394 0.592
Ac: 0.894 0.106 0.092
Ge: 0.000 0.000 0.500
Ge: 0.020 0.480 0.750
Ge: 0.480 0.020 0.250
Ge: 0.500 0.500 0.000
Ge: 0.520 0.980 0.750
Ge: 0.980 0.520 0.250
Ir: 0.179 0.321 0.750
Ir: 0.183 0.817 0.521
Ir: 0.317 0.683 0.021
Ir: 0.321 0.179 0.250
Ir: 0.679 0.821 0.750
Ir: 0.683 0.317 0.979
Ir: 0.817 0.183 0.479
Ir: 0.821 0.679 0.250

Properties
Final energy, eV per formula unit: -62.8
Energy of formation from the pure elements, kJ/mol of formula units: -515